GGA-PBE LuThPt2, optimized geometry; energy = -7.16 eV/atom; DOS(E_F) = 0.763 states/eV per atom; calculated formation energy = -1.15 eV per atom; total magnetization = 0.000 μB/atom
1.0
3.4445 0.0000 0.0000
0.0000 3.4445 0.0000
0.0000 0.0000 7.3348
Lu Th Pt
1 1 2
Cartesian
1.7223 1.7223 0.0000
1.7223 1.7223 3.6674
0.0000 0.0000 5.6806
0.0000 0.0000 1.6543

---

GGA-PBE HfFeTe2, optimized geometry; energy = -6.01 eV/atom; DOS(E_F) = 1.767 states/eV per atom; formation energy without anion corrections = 0.16 eV per atom; total magnetization = 0.000 μB/atom
1.0
-0.4216 -4.1272 2.4874
-2.8398 -0.1872 3.9114
-4.1427 -2.4935 -0.1361
Hf Te Fe
1 2 1
Cartesian
-3.7021 -3.4040 3.1313
-1.8510 -1.7020 1.5657
-5.5531 -5.1059 4.6970
0.0000 0.0000 0.0000